# 1
# Sc2OsPb, optimized geometry, DFT PBE-GGA
# Mass density, Mg/m³: 9.4
# Energy of formation, eV/atom: -0.17
data_Sc2OsPb
_chemical_formula_sum 'Sc2 Os1 Pb1'
_symmetry_space_group_name_H-M 'P 1'
_symmetry_Int_Tables_number 1
_cell_length_a 9.2735
_cell_length_b 9.2735
_cell_length_c 9.2735
_cell_angle_alpha 20.55
_cell_angle_beta 20.55
_cell_angle_gamma 20.55
loop_
_symmetry_equiv_pos_as_xyz
'x,y,z'
loop_
_atom_site_label
_atom_site_type_symbol
_atom_site_fract_x
_atom_site_fract_y
_atom_site_fract_z
Sc1 Sc 0.9860 0.9860 0.9860
Pb1 Pb 0.7500 0.7500 0.7500
Sc2 Sc 0.5140 0.5140 0.5140
Os1 Os 0.2500 0.2500 0.2500

# 2
# La7Ho12Er, optimized geometry, DFT PBE-GGA
# Mass density, Mg/m³: 6.9
# Energy of formation, eV/atom: 0.63
data_La7Ho12Er
_chemical_formula_sum 'La7 Ho12 Er1'
_symmetry_space_group_name_H-M 'P 1'
_symmetry_Int_Tables_number 1
_cell_length_a 9.9187
_cell_length_b 9.9187
_cell_length_c 9.9187
_cell_angle_alpha 109.47
_cell_angle_beta 109.47
_cell_angle_gamma 109.47
loop_
_symmetry_equiv_pos_as_xyz
'x,y,z'
loop_
_atom_site_label
_atom_site_type_symbol
_atom_site_fract_x
_atom_site_fract_y
_atom_site_fract_z
Ho1 Ho 0.7800 0.0009 0.2208
Ho2 Ho 0.7792 0.2200 0.9991
Ho3 Ho 0.2200 0.9991 0.7792
La1 La 0.5000 0.5000 0.0000
Ho4 Ho 0.0009 0.2208 0.7800
La2 La 0.0000 0.0000 0.5000
Ho5 Ho 0.7800 0.5592 0.7792
Ho6 Ho 0.2208 0.7800 0.0009
Ho7 Ho 0.4408 0.2208 0.2200
Ho8 Ho 0.2208 0.2200 0.4408
Ho9 Ho 0.5592 0.7792 0.7800
La3 La 0.0000 0.5000 0.0000
Ho10 Ho 0.9991 0.7792 0.2200
La4 La 0.5000 0.0000 0.5000
La5 La 0.5000 0.5000 0.5000
La6 La 0.5000 0.0000 0.0000
Ho11 Ho 0.7792 0.7800 0.5592
Er1 Er 0.0000 0.0000 0.0000
Ho12 Ho 0.2200 0.4408 0.2208
La7 La 0.0000 0.5000 0.5000

# 3
# K2ReMo, optimized geometry, DFT PBE-GGA
# Mass density, Mg/m³: 6.9
# Energy of formation, eV/atom: 1.50
# Excess energy over the best structure of this formula in the dataset, eV/atom: 0.648
data_K2ReMo
_chemical_formula_sum 'K2 Re1 Mo1'
_symmetry_space_group_name_H-M 'P 1'
_symmetry_Int_Tables_number 1
_cell_length_a 6.0203
_cell_length_b 3.7910
_cell_length_c 3.7910
_cell_angle_alpha 90.00
_cell_angle_beta 90.00
_cell_angle_gamma 90.00
loop_
_symmetry_equiv_pos_as_xyz
'x,y,z'
loop_
_atom_site_label
_atom_site_type_symbol
_atom_site_fract_x
_atom_site_fract_y
_atom_site_fract_z
K1 K 0.0000 0.5000 0.5000
Re1 Re 0.5000 0.0000 0.5000
Mo1 Mo 0.5000 0.5000 0.0000
K2 K 0.0000 0.0000 0.0000

# 4
# SrPb5, optimized geometry, DFT PBE-GGA
# Mass density, Mg/m³: 9.6
# Energy of formation, eV/atom: -0.14
# Excess energy over the best structure of this formula in the dataset, eV/atom: 0.051
data_SrPb5
_chemical_formula_sum 'Sr1 Pb5'
_symmetry_space_group_name_H-M 'P 1'
_symmetry_Int_Tables_number 1
_cell_length_a 6.1506
_cell_length_b 6.1506
_cell_length_c 5.9345
_cell_angle_alpha 90.00
_cell_angle_beta 90.00
_cell_angle_gamma 120.00
loop_
_symmetry_equiv_pos_as_xyz
'x,y,z'
loop_
_atom_site_label
_atom_site_type_symbol
_atom_site_fract_x
_atom_site_fract_y
_atom_site_fract_z
Pb1 Pb 0.0000 0.6565 0.0000
Pb2 Pb 0.3435 0.3435 0.0000
Pb3 Pb 0.6667 0.3333 0.5000
Sr1 Sr 0.0000 0.0000 0.5000
Pb4 Pb 0.6565 0.0000 0.0000
Pb5 Pb 0.3333 0.6667 0.5000

# 5
# KTl2PC, optimized geometry, DFT PBE-GGA
# Mass density, Mg/m³: 6.0
# Energy of formation, eV/atom: 0.73
data_KTl2PC
_chemical_formula_sum 'K1 Tl2 P1 C1'
_symmetry_space_group_name_H-M 'P 1'
_symmetry_Int_Tables_number 1
_cell_length_a 6.1027
_cell_length_b 3.6324
_cell_length_c 6.1027
_cell_angle_alpha 90.00
_cell_angle_beta 90.00
_cell_angle_gamma 90.00
loop_
_symmetry_equiv_pos_as_xyz
'x,y,z'
loop_
_atom_site_label
_atom_site_type_symbol
_atom_site_fract_x
_atom_site_fract_y
_atom_site_fract_z
Tl1 Tl 0.5000 0.0000 0.0000
Tl2 Tl 0.0000 0.0000 0.5000
K1 K 0.5000 0.5000 0.5000
P1 P 0.0000 0.0000 0.0000
C1 C 0.0000 0.5000 0.0000

# 6
# B, optimized geometry, DFT PBE-GGA
# Mass density, Mg/m³: 2.0
# Energy of formation, eV/atom: 0.22
# Excess energy over the best structure of this formula in the dataset, eV/atom: 0.220
data_B
_chemical_formula_sum 'B12'
_symmetry_space_group_name_H-M 'P 1'
_symmetry_Int_Tables_number 1
_cell_length_a 6.6185
_cell_length_b 6.6185
_cell_length_c 2.7992
_cell_angle_alpha 90.00
_cell_angle_beta 90.00
_cell_angle_gamma 120.00
loop_
_symmetry_equiv_pos_as_xyz
'x,y,z'
loop_
_atom_site_label
_atom_site_type_symbol
_atom_site_fract_x
_atom_site_fract_y
_atom_site_fract_z
B1 B 0.5927 0.0122 0.2500
B2 B 0.5244 0.8180 0.7500
B3 B 0.4073 0.9878 0.7500
B4 B 0.4756 0.1820 0.2500
B5 B 0.0122 0.4195 0.7500
B6 B 0.8180 0.2936 0.2500
B7 B 0.4195 0.4073 0.2500
B8 B 0.9878 0.5805 0.2500
B9 B 0.1820 0.7064 0.7500
B10 B 0.7064 0.5244 0.2500
B11 B 0.2936 0.4756 0.7500
B12 B 0.5805 0.5927 0.7500